Computed, not measured: a relaxed MgCd2 crystal at the PBE level of DFT.

abc: 6.535 6.535 4.247
angles: 90.00 90.00 90.00
Fractional positions:
Cd  0.202  0.798  0.500
Mg  0.500  0.500  0.500
Mg  0.000  0.000  0.000
Cd  0.298  0.298  0.000
Cd  0.798  0.202  0.500
Cd  0.702  0.702  0.000

* calculated volume: 181.4 Å³ per cell
* space group: P4_2/mnm (136)
* crystal system: tetragonal
* VASP energy: -0.786 eV/atom

=====

Computed, not measured: a relaxed DyZrAg crystal at the PBE level of DFT.

abc: 4.781 4.781 4.781
angles: 60.00 60.00 60.00
Fractional positions:
Zr  0.500  0.500  0.500
Ag  0.000  0.000  0.000
Dy  0.750  0.750  0.750

* calculated volume: 77.3 Å³ per cell
* space group: F-43m (216)
* crystal system: cubic
* magnetic moment: 0.204 μB/f.u.
* formation enthalpy at 0 K: 0.8955 eV/atom

=====

Computed, not measured: a relaxed SmPaIn crystal at the PBE level of DFT.

abc: 5.195 5.195 5.195
angles: 60.00 60.00 60.00
Fractional positions:
Sm  0.750  0.750  0.750
In  0.000  0.000  0.000
Pa  0.250  0.250  0.250

* calculated volume: 99.1 Å³ per cell
* space group: F-43m (216)
* crystal system: cubic
* magnetic moment: 1.693 μB/f.u.
* offset from the most stable computed form: 0.0000 eV per atom

=====

Computed, not measured: a relaxed Sm2Ge2O5 crystal at the PBE level of DFT.

abc: 9.686 3.652 3.652
angles: 90.00 90.00 90.00
Fractional positions:
O  0.877  0.500  0.000
O  0.123  0.000  0.500
O  0.500  0.500  0.500
O  0.123  0.500  0.000
Sm  0.255  0.500  0.500
Ge  0.000  0.000  0.000
Sm  0.745  0.500  0.500
Ge  0.500  0.000  0.000
O  0.877  0.000  0.500

* calculated volume: 129.2 Å³ per cell
* space group: P4/mmm (123)
* crystal system: tetragonal
* magnetic moment: 0.000 μB/f.u.
* offset from the most stable computed form: 0.1792 eV per atom

=====

Computed, not measured: a relaxed KPPdO crystal at the PBE level of DFT.

abc: 3.791 6.027 7.425
angles: 90.00 90.00 90.00
Fractional positions:
Pd  0.500  0.156  0.458
K  0.000  0.655  0.593
O  0.000  0.742  0.934
K  0.000  0.345  0.093
Pd  0.500  0.844  0.958
P  0.500  0.864  0.268
P  0.500  0.136  0.768
O  0.000  0.258  0.434

* calculated volume: 169.7 Å³ per cell
* space group: Pmc2_1 (26)
* crystal system: orthorhombic
* offset from the most stable computed form: 0.0996 eV per atom

=====

Computed, not measured: a relaxed Hf2Sc4Pb3C3 crystal at the PBE level of DFT.

abc: 5.879 5.879 15.323
angles: 101.13 101.13 60.02
Fractional positions:
Hf  0.474  0.646  0.422
Hf  0.526  0.354  0.578
Pb  0.914  0.086  0.750
Sc  0.967  0.811  0.919
Pb  0.746  0.583  0.249
Sc  0.811  0.967  0.419
Sc  0.133  0.307  0.419
Sc  0.867  0.693  0.581
C  0.340  0.820  0.000
Sc  0.693  0.867  0.081
Sc  0.189  0.033  0.581
Hf  0.354  0.526  0.078
Pb  0.254  0.417  0.751
C  0.500  0.000  0.500
Hf  0.646  0.474  0.922
Pb  0.583  0.746  0.749
C  0.000  0.500  0.000
C  0.660  0.180  0.000
C  0.180  0.660  0.500
Sc  0.307  0.133  0.919
C  0.820  0.340  0.500
Pb  0.417  0.254  0.251
Sc  0.033  0.189  0.081
Pb  0.086  0.914  0.250

* calculated volume: 447.2 Å³ per cell
* space group: C2/c (15)
* crystal system: monoclinic
* VASP energy: -7.647 eV/atom
* magnetic moment: 0.012 μB/f.u.

=====

Computed, not measured: a relaxed Pr2ErSe3 crystal at the PBE level of DFT.

abc: 4.150 4.150 10.402
angles: 90.00 90.00 120.00
Fractional positions:
Se  0.000  0.000  0.000
Se  0.667  0.333  0.350
Se  0.333  0.667  0.650
Er  0.000  0.000  0.500
Pr  0.667  0.333  0.829
Pr  0.333  0.667  0.171

* calculated volume: 155.1 Å³ per cell
* space group: P-3m1 (164)
* crystal system: trigonal
* VASP energy: -5.893 eV/atom
* magnetic moment: 0.006 μB/f.u.

=====

Computed, not measured: a relaxed BeCoSiW crystal at the PBE level of DFT.

abc: 4.059 4.059 4.059
angles: 60.00 60.00 60.00
Fractional positions:
Be  0.500  0.500  0.500
W  0.250  0.250  0.250
Si  0.000  0.000  0.000
Co  0.750  0.750  0.750

* calculated volume: 47.3 Å³ per cell
* space group: F-43m (216)
* crystal system: cubic
* magnetic moment: 0.813 μB/f.u.
* offset from the most stable computed form: 0.0000 eV per atom

=====

Computed, not measured: a relaxed Lu4NiGeN2 crystal at the PBE level of DFT.

abc: 3.383 3.383 13.775
angles: 90.00 90.00 120.00
Fractional positions:
N  0.333  0.667  0.249
Ge  0.667  0.333  0.500
N  0.333  0.667  0.751
Lu  0.000  0.000  0.336
Lu  0.000  0.000  0.664
Lu  0.667  0.333  0.140
Lu  0.667  0.333  0.860
Ni  0.000  0.000  0.000

* calculated volume: 136.6 Å³ per cell
* space group: P-6m2 (187)
* crystal system: hexagonal
* VASP energy: -6.696 eV/atom
* magnetic moment: 0.008 μB/f.u.

=====

Computed, not measured: a relaxed ZrInHg3S4 crystal at the PBE level of DFT.

abc: 7.182 7.620 10.380
angles: 90.00 109.39 90.00
Fractional positions:
In  0.826  0.750  0.071
S  0.823  0.504  0.810
S  0.915  0.750  0.502
Hg  0.707  0.040  0.532
Hg  0.293  0.960  0.468
S  0.823  0.996  0.810
S  0.663  0.250  0.106
Zr  0.007  0.250  0.249
Hg  0.707  0.460  0.532
S  0.337  0.750  0.894
Zr  0.993  0.750  0.751
Hg  0.293  0.540  0.468
S  0.177  0.496  0.190
In  0.174  0.250  0.929
S  0.085  0.250  0.498
Hg  0.520  0.250  0.294
Hg  0.480  0.750  0.706
S  0.177  0.004  0.190

* calculated volume: 535.8 Å³ per cell
* space group: P2_1/m (11)
* crystal system: monoclinic
* magnetic moment: 0.001 μB/f.u.
* offset from the most stable computed form: 0.0000 eV per atom

=====

Computed, not measured: a relaxed Cs2CuOsF6 crystal at the PBE level of DFT.

abc: 5.948 5.948 5.948
angles: 60.00 60.00 60.00
Fractional positions:
Cs  0.250  0.250  0.250
Cs  0.750  0.750  0.750
F  0.256  0.744  0.256
F  0.744  0.256  0.256
Os  0.500  0.500  0.500
F  0.744  0.744  0.256
F  0.256  0.256  0.744
F  0.744  0.256  0.744
Cu  0.000  0.000  0.000
F  0.256  0.744  0.744

* calculated volume: 148.8 Å³ per cell
* space group: Fm-3m (225)
* crystal system: cubic
* VASP energy: -4.533 eV/atom
* magnetic moment: 1.003 μB/f.u.

=====

Computed, not measured: a relaxed NbTlAs crystal at the PBE level of DFT.

abc: 4.595 4.595 4.595
angles: 60.00 60.00 60.00
Fractional positions:
As  0.000  0.000  0.000
Tl  0.750  0.750  0.750
Nb  0.250  0.250  0.250

* calculated volume: 68.6 Å³ per cell
* space group: F-43m (216)
* crystal system: cubic
* magnetic moment: 0.654 μB/f.u.
* offset from the most stable computed form: 0.0331 eV per atom